1.
La2BeHAu: optimized geometry, GGA-PBE.

Lattice parameters (Å, degrees): 5.255 5.255 3.716 90.00 90.00 90.00
Space group P4/mmm (No. 123)
One atom of each set of equivalent atoms:
La (0.000, 0.500, 0.000) x2
Be (0.000, 0.000, 0.500) x1
H (0.000, 0.000, 0.000) x1
Au (0.500, 0.500, 0.500) x1

## Properties
- electronic total energy (eV/atom) = -4.338
- mass density (kg/m3) = 7845
- crystal system = tetragonal
- D(E_F) (states/eV/cell) = 4.1

---

2.
Mn2BeHAu: optimized geometry, GGA-PBE.

Lattice parameters (Å, degrees): 3.687 3.687 3.967 90.00 90.00 90.00
Space group P4/mmm (No. 123)
One atom of each set of equivalent atoms:
Mn (0.000, 0.500, 0.000) x2
Be (0.000, 0.000, 0.500) x1
H (0.000, 0.000, 0.000) x1
Au (0.500, 0.500, 0.500) x1

## Properties
- electronic total energy (eV/atom) = -5.687
- mass density (kg/m3) = 9757
- crystal system = tetragonal
- D(E_F) (states/eV/cell) = 2.7

---

3.
Na2BeH6Au: optimized geometry, GGA-PBE.

Lattice parameters (Å, degrees): 4.596 4.596 9.445 90.00 90.00 90.00
Space group I4mm (No. 107)
One atom of each set of equivalent atoms:
Na (0.000, 0.500, 0.000) x4
Be (0.000, 0.000, 0.236) x2
H (0.000, 0.000, 0.086) x2
H (0.000, 0.000, 0.555) x2
H (0.232, 0.232, 0.293) x8
Au (0.000, 0.000, 0.747) x2

## Properties
- electronic total energy (eV/atom) = -3.014
- mass density (kg/m3) = 4294
- crystal system = tetragonal
- D(E_F) (states/eV/cell) = 1.0

---

Question: What is the formula in the first record?
Answer: La2BeHAu

---

Please write out number 1 again, unchanged.
La2BeHAu: optimized geometry, GGA-PBE.

Lattice parameters (Å, degrees): 5.255 5.255 3.716 90.00 90.00 90.00
Space group P4/mmm (No. 123)
One atom of each set of equivalent atoms:
La (0.000, 0.500, 0.000) x2
Be (0.000, 0.000, 0.500) x1
H (0.000, 0.000, 0.000) x1
Au (0.500, 0.500, 0.500) x1

## Properties
- electronic total energy (eV/atom) = -4.338
- mass density (kg/m3) = 7845
- crystal system = tetragonal
- D(E_F) (states/eV/cell) = 4.1

---

Question: Which value of D(E_F) does entry 3 give?
Answer: 1.0 states/eV/cell